[1]
A plane-wave DFT calculation with GGA-PBE was carried out for BaMnAg2 after structural relaxation.

Computed properties:
- calculated total energy (eV/cell) = -43.66
- DOS at the Fermi energy (states/eV/cell) = 8.81
- size of the total moment (μB per cell) = 12.23
- formation enthalpy at 0 K (meV/atom) = 560
- distance to the lowest polymorph of the same formula (meV/atom) = 486.9

Cell and atoms, written as CIF:
```
data_BaMnAg2
_cell_length_a 3.4236
_cell_length_b 3.4236
_cell_length_c 29.3997
_cell_angle_alpha 90.00
_cell_angle_beta 90.00
_cell_angle_gamma 120.00
_space_group_name_H-M_alt 'R 3 m'
_space_group_IT_number 160
_space_group_name_Hall 'R 3 -2"'
loop_
_atom_site_label
_atom_site_type_symbol
_atom_site_fract_x
_atom_site_fract_y
_atom_site_fract_z
_atom_site_occupancy
Ba1 Ba 0.0000 0.0000 0.0000 1
Mn1 Mn 0.0000 0.0000 0.7675 1
Ag1 Ag 0.0000 0.0000 0.2375 1
Ag2 Ag 0.0000 0.0000 0.4995 1
```

[2]
A plane-wave DFT calculation with GGA-PBE was carried out for BaMn3Ag after structural relaxation.

Computed properties:
- calculated total energy (eV/cell) = -28.30
- DOS at the Fermi energy (states/eV/cell) = 3.83
- size of the total moment (μB per cell) = 12.68
- formation enthalpy at 0 K (meV/atom) = 796
- distance to the lowest polymorph of the same formula (meV/atom) = 0.0

Cell and atoms, written as CIF:
```
data_BaMn3Ag
_cell_length_a 5.121
_cell_length_b 5.121
_cell_length_c 5.121
_cell_angle_alpha 90.00
_cell_angle_beta 90.00
_cell_angle_gamma 90.00
_space_group_name_H-M_alt 'P m -3 m'
_space_group_IT_number 221
_space_group_name_Hall '-P 4 2 3'
loop_
_atom_site_label
_atom_site_type_symbol
_atom_site_fract_x
_atom_site_fract_y
_atom_site_fract_z
_atom_site_occupancy
Ba1 Ba 0.000 0.000 0.000 1
Mn1 Mn 0.000 0.500 0.500 1
Ag1 Ag 0.500 0.500 0.500 1
```

[3]
A plane-wave DFT calculation with GGA-PBE was carried out for BaMnAg2 after structural relaxation.

Computed properties:
- calculated total energy (eV/cell) = -16.06
- DOS at the Fermi energy (states/eV/cell) = 3.00
- size of the total moment (μB per cell) = 4.42
- formation enthalpy at 0 K (meV/atom) = 184
- distance to the lowest polymorph of the same formula (meV/atom) = 110.8

Cell and atoms, written as CIF:
```
data_BaMnAg2
_cell_length_a 3.569
_cell_length_b 3.623
_cell_length_c 7.564
_cell_angle_alpha 90.00
_cell_angle_beta 90.08
_cell_angle_gamma 90.00
_space_group_name_H-M_alt 'P 1 2/m 1'
_space_group_IT_number 10
loop_
_space_group_symop_operation_xyz
'x,y,z'
'-x,-y,-z'
'-x,y,-z'
'x,-y,z'
loop_
_atom_site_label
_atom_site_type_symbol
_atom_site_fract_x
_atom_site_fract_y
_atom_site_fract_z
_atom_site_occupancy
Ba1 Ba 0.000 0.000 0.000 1
Mn1 Mn 0.000 0.000 0.500 1
Ag1 Ag 0.500 0.500 0.316 1
```

[4]
A plane-wave DFT calculation with GGA-PBE was carried out for Ba2MnAg after structural relaxation.

Computed properties:
- calculated total energy (eV/cell) = -14.80
- DOS at the Fermi energy (states/eV/cell) = 3.25
- size of the total moment (μB per cell) = 4.47
- formation enthalpy at 0 K (meV/atom) = 266
- distance to the lowest polymorph of the same formula (meV/atom) = 82.9

Cell and atoms, written as CIF:
```
data_Ba2MnAg
_cell_length_a 3.863
_cell_length_b 3.863
_cell_length_c 9.492
_cell_angle_alpha 90.00
_cell_angle_beta 90.00
_cell_angle_gamma 90.00
_space_group_name_H-M_alt 'P 4 m m'
_space_group_IT_number 99
loop_
_space_group_symop_operation_xyz
'x,y,z'
'-y,x,z'
'-x,-y,z'
'y,-x,z'
'-x,y,z'
'y,x,z'
'x,-y,z'
'-y,-x,z'
loop_
_atom_site_label
_atom_site_type_symbol
_atom_site_fract_x
_atom_site_fract_y
_atom_site_fract_z
_atom_site_occupancy
Ba1 Ba 0.000 0.000 0.000 1
Ba2 Ba 0.500 0.500 0.399 1
Mn1 Mn 0.000 0.000 0.652 1
Ag1 Ag 0.500 0.500 0.754 1
```

[5]
A plane-wave DFT calculation with GGA-PBE was carried out for BaMn2Ag after structural relaxation.

Computed properties:
- calculated total energy (eV/cell) = -21.09
- DOS at the Fermi energy (states/eV/cell) = 3.79
- size of the total moment (μB per cell) = 7.96
- formation enthalpy at 0 K (meV/atom) = 506

Cell and atoms, written as CIF:
```
data_BaMn2Ag
_cell_length_a 3.551
_cell_length_b 3.551
_cell_length_c 7.536
_cell_angle_alpha 90.00
_cell_angle_beta 90.00
_cell_angle_gamma 90.00
_space_group_name_H-M_alt 'P 4 m m'
_space_group_IT_number 99
loop_
_space_group_symop_operation_xyz
'x,y,z'
'-y,x,z'
'-x,-y,z'
'y,-x,z'
'-x,y,z'
'y,x,z'
'x,-y,z'
'-y,-x,z'
loop_
_atom_site_label
_atom_site_type_symbol
_atom_site_fract_x
_atom_site_fract_y
_atom_site_fract_z
_atom_site_occupancy
Ba1 Ba 0.000 0.000 0.000 1
Mn1 Mn 0.000 0.000 0.495 1
Mn2 Mn 0.500 0.500 0.321 1
Ag1 Ag 0.500 0.500 0.678 1
```

[6]
A plane-wave DFT calculation with GGA-PBE was carried out for BaMnAg2 after structural relaxation.

Computed properties:
- calculated total energy (eV/cell) = -15.77
- DOS at the Fermi energy (states/eV/cell) = 1.86
- size of the total moment (μB per cell) = 4.35
- formation enthalpy at 0 K (meV/atom) = 257
- distance to the lowest polymorph of the same formula (meV/atom) = 183.4

Cell and atoms, written as CIF:
```
data_BaMnAg2
_cell_length_a 3.685
_cell_length_b 3.685
_cell_length_c 7.430
_cell_angle_alpha 90.00
_cell_angle_beta 90.00
_cell_angle_gamma 90.00
_space_group_name_H-M_alt 'P 4 m m'
_space_group_IT_number 99
loop_
_space_group_symop_operation_xyz
'x,y,z'
'-y,x,z'
'-x,-y,z'
'y,-x,z'
'-x,y,z'
'y,x,z'
'x,-y,z'
'-y,-x,z'
loop_
_atom_site_label
_atom_site_type_symbol
_atom_site_fract_x
_atom_site_fract_y
_atom_site_fract_z
_atom_site_occupancy
Ba1 Ba 0.000 0.000 0.000 1
Mn1 Mn 0.500 0.500 0.341 1
Ag1 Ag 0.000 0.000 0.493 1
Ag2 Ag 0.500 0.500 0.698 1
```

[7]
A plane-wave DFT calculation with GGA-PBE was carried out for Ba2MnAg after structural relaxation.

Computed properties:
- calculated total energy (eV/cell) = -14.90
- DOS at the Fermi energy (states/eV/cell) = 3.45
- size of the total moment (μB per cell) = 3.53
- formation enthalpy at 0 K (meV/atom) = 243
- distance to the lowest polymorph of the same formula (meV/atom) = 60.1

Cell and atoms, written as CIF:
```
data_Ba2MnAg
_cell_length_a 5.820
_cell_length_b 5.820
_cell_length_c 4.091
_cell_angle_alpha 90.00
_cell_angle_beta 90.00
_cell_angle_gamma 90.00
_space_group_name_H-M_alt 'P 4/m m m'
_space_group_IT_number 123
_space_group_name_Hall '-P 4 2'
loop_
_atom_site_label
_atom_site_type_symbol
_atom_site_fract_x
_atom_site_fract_y
_atom_site_fract_z
_atom_site_occupancy
Ba1 Ba 0.000 0.500 0.000 1
Mn1 Mn 0.000 0.000 0.500 1
Ag1 Ag 0.500 0.500 0.500 1
```

[8]
A plane-wave DFT calculation with GGA-PBE was carried out for Ba2MnAg after structural relaxation.

Computed properties:
- calculated total energy (eV/cell) = -57.27
- DOS at the Fermi energy (states/eV/cell) = 11.89
- size of the total moment (μB per cell) = 18.05
- formation enthalpy at 0 K (meV/atom) = 387
- distance to the lowest polymorph of the same formula (meV/atom) = 204.6

Cell and atoms, written as CIF:
```
data_Ba2MnAg
_cell_length_a 7.902
_cell_length_b 7.902
_cell_length_c 7.902
_cell_angle_alpha 90.00
_cell_angle_beta 90.00
_cell_angle_gamma 90.00
_space_group_name_H-M_alt 'F -4 3 m'
_space_group_IT_number 216
_space_group_name_Hall 'F -4 2 3'
loop_
_atom_site_label
_atom_site_type_symbol
_atom_site_fract_x
_atom_site_fract_y
_atom_site_fract_z
_atom_site_occupancy
Ba1 Ba 0.000 0.000 0.000 1
Ba2 Ba 0.250 0.250 0.250 1
Mn1 Mn 0.250 0.250 0.750 1
Ag1 Ag 0.000 0.000 0.500 1
```

[9]
A plane-wave DFT calculation with GGA-PBE was carried out for BaMn2Ag after structural relaxation.

Computed properties:
- calculated total energy (eV/cell) = -81.01
- DOS at the Fermi energy (states/eV/cell) = 15.81
- size of the total moment (μB per cell) = 34.34
- formation enthalpy at 0 K (meV/atom) = 715

Cell and atoms, written as CIF:
```
data_BaMn2Ag
_cell_length_a 7.285
_cell_length_b 7.285
_cell_length_c 7.285
_cell_angle_alpha 90.00
_cell_angle_beta 90.00
_cell_angle_gamma 90.00
_space_group_name_H-M_alt 'F m -3 m'
_space_group_IT_number 225
_space_group_name_Hall '-F 4 2 3'
loop_
_atom_site_label
_atom_site_type_symbol
_atom_site_fract_x
_atom_site_fract_y
_atom_site_fract_z
_atom_site_occupancy
Ba1 Ba 0.000 0.000 0.000 1
Mn1 Mn 0.250 0.250 0.250 1
Ag1 Ag 0.000 0.000 0.500 1
```

[10]
A plane-wave DFT calculation with GGA-PBE was carried out for Ba2MnAg after structural relaxation.

Computed properties:
- calculated total energy (eV/cell) = -15.14
- DOS at the Fermi energy (states/eV/cell) = 4.54
- size of the total moment (μB per cell) = 3.75
- formation enthalpy at 0 K (meV/atom) = 183
- distance to the lowest polymorph of the same formula (meV/atom) = 0.0

Cell and atoms, written as CIF:
```
data_Ba2MnAg
_cell_length_a 4.917
_cell_length_b 4.739
_cell_length_c 6.860
_cell_angle_alpha 90.00
_cell_angle_beta 110.93
_cell_angle_gamma 90.00
_space_group_name_H-M_alt 'P 1 m 1'
_space_group_IT_number 6
loop_
_space_group_symop_operation_xyz
'x,y,z'
'x,-y,z'
loop_
_atom_site_label
_atom_site_type_symbol
_atom_site_fract_x
_atom_site_fract_y
_atom_site_fract_z
_atom_site_occupancy
Ba1 Ba 0.000 0.000 0.000 1
Ba2 Ba 0.285 0.500 0.571 1
Mn1 Mn 0.695 0.000 0.389 1
Ag1 Ag 0.583 0.500 0.167 1
```

[11]
A plane-wave DFT calculation with GGA-PBE was carried out for BaMnAg2 after structural relaxation.

Computed properties:
- calculated total energy (eV/cell) = -15.81
- DOS at the Fermi energy (states/eV/cell) = 2.52
- size of the total moment (μB per cell) = 4.35
- formation enthalpy at 0 K (meV/atom) = 247
- distance to the lowest polymorph of the same formula (meV/atom) = 174.0

Cell and atoms, written as CIF:
```
data_BaMnAg2
_cell_length_a 3.796
_cell_length_b 4.200
_cell_length_c 6.860
_cell_angle_alpha 90.00
_cell_angle_beta 90.00
_cell_angle_gamma 90.00
_space_group_name_H-M_alt 'P m m 2'
_space_group_IT_number 25
loop_
_space_group_symop_operation_xyz
'x,y,z'
'-x,-y,z'
'-x,y,z'
'x,-y,z'
loop_
_atom_site_label
_atom_site_type_symbol
_atom_site_fract_x
_atom_site_fract_y
_atom_site_fract_z
_atom_site_occupancy
Ba1 Ba 0.000 0.000 0.000 1
Mn1 Mn 0.000 0.500 0.562 1
Ag1 Ag 0.500 0.000 0.565 1
Ag2 Ag 0.500 0.500 0.274 1
```

[12]
A plane-wave DFT calculation with GGA-PBE was carried out for BaMn2Ag after structural relaxation.

Computed properties:
- calculated total energy (eV/cell) = -40.91
- DOS at the Fermi energy (states/eV/cell) = 7.53
- size of the total moment (μB per cell) = 15.13
- formation enthalpy at 0 K (meV/atom) = 665

Cell and atoms, written as CIF:
```
data_BaMn2Ag
_cell_length_a 3.330
_cell_length_b 5.327
_cell_length_c 10.546
_cell_angle_alpha 90.00
_cell_angle_beta 90.00
_cell_angle_gamma 90.00
_space_group_name_H-M_alt 'I m m 2'
_space_group_IT_number 44
loop_
_space_group_symop_operation_xyz
'x,y,z'
'-x,-y,z'
'-x,y,z'
'x,-y,z'
'x+1/2,y+1/2,z+1/2'
'-x+1/2,-y+1/2,z+1/2'
'-x+1/2,y+1/2,z+1/2'
'x+1/2,-y+1/2,z+1/2'
loop_
_atom_site_label
_atom_site_type_symbol
_atom_site_fract_x
_atom_site_fract_y
_atom_site_fract_z
_atom_site_occupancy
Ba1 Ba 0.000 0.000 0.000 1
Mn1 Mn 0.000 0.000 0.509 1
Mn2 Mn 0.000 0.500 0.797 1
Ag1 Ag 0.000 0.500 0.220 1
```

[13]
A plane-wave DFT calculation with GGA-PBE was carried out for BaMnAg2 after structural relaxation.

Computed properties:
- calculated total energy (eV/cell) = -49.51
- DOS at the Fermi energy (states/eV/cell) = 6.86
- size of the total moment (μB per cell) = 12.11
- formation enthalpy at 0 K (meV/atom) = 73
- distance to the lowest polymorph of the same formula (meV/atom) = 0.0

Cell and atoms, written as CIF:
```
data_BaMnAg2
_cell_length_a 4.7294
_cell_length_b 4.7294
_cell_length_c 17.1353
_cell_angle_alpha 90.00
_cell_angle_beta 90.00
_cell_angle_gamma 120.00
_space_group_name_H-M_alt 'R -3 m'
_space_group_IT_number 166
_space_group_name_Hall '-R 3 2"'
loop_
_atom_site_label
_atom_site_type_symbol
_atom_site_fract_x
_atom_site_fract_y
_atom_site_fract_z
_atom_site_occupancy
Ba1 Ba 0.0000 0.0000 0.0000 1
Mn1 Mn 0.0000 0.0000 0.5000 1
Ag1 Ag 0.0000 0.0000 0.1967 1
```

[14]
A plane-wave DFT calculation with GGA-PBE was carried out for BaMnAg2 after structural relaxation.

Computed properties:
- calculated total energy (eV/cell) = -62.51
- DOS at the Fermi energy (states/eV/cell) = 12.65
- size of the total moment (μB per cell) = 16.65
- formation enthalpy at 0 K (meV/atom) = 292
- distance to the lowest polymorph of the same formula (meV/atom) = 218.6

Cell and atoms, written as CIF:
```
data_BaMnAg2
_cell_length_a 5.328
_cell_length_b 5.328
_cell_length_c 18.230
_cell_angle_alpha 90.00
_cell_angle_beta 90.00
_cell_angle_gamma 90.00
_space_group_name_H-M_alt 'I 41/a m d'
_space_group_IT_number 141
loop_
_space_group_symop_operation_xyz
'x,y,z'
'-x,-y,-z'
'-y+1/4,x+3/4,z+1/4'
'y+1/4,-x+3/4,-z+1/4'
'-x+1/2,-y,z+1/2'
'x+1/2,y,-z+1/2'
'y+1/4,-x+1/4,z+3/4'
'-y+1/4,x+1/4,-z+3/4'
'x,-y,-z'
'-x,y,z'
'-y+1/4,-x+1/4,-z+3/4'
'y+1/4,x+1/4,z+3/4'
'-x+1/2,y,-z+1/2'
'x+1/2,-y,z+1/2'
'y+1/4,x+3/4,-z+1/4'
'-y+1/4,-x+3/4,z+1/4'
'x+1/2,y+1/2,z+1/2'
'-x+1/2,-y+1/2,-z+1/2'
'-y+3/4,x+1/4,z+3/4'
'y+3/4,-x+1/4,-z+3/4'
'-x,-y+1/2,z'
'x,y+1/2,-z'
'y+3/4,-x+3/4,z+1/4'
'-y+3/4,x+3/4,-z+1/4'
'x+1/2,-y+1/2,-z+1/2'
'-x+1/2,y+1/2,z+1/2'
'-y+3/4,-x+3/4,-z+1/4'
'y+3/4,x+3/4,z+1/4'
'-x,y+1/2,-z'
'x,-y+1/2,z'
'y+3/4,x+1/4,-z+3/4'
'-y+3/4,-x+1/4,z+3/4'
loop_
_atom_site_label
_atom_site_type_symbol
_atom_site_fract_x
_atom_site_fract_y
_atom_site_fract_z
_atom_site_occupancy
Ba1 Ba 0.000 0.250 0.375 1
Mn1 Mn 0.000 0.250 0.875 1
Ag1 Ag 0.000 0.000 0.000 1
```

[15]
A plane-wave DFT calculation with GGA-PBE was carried out for BaMn2Ag after structural relaxation.

Computed properties:
- calculated total energy (eV/cell) = -20.10
- DOS at the Fermi energy (states/eV/cell) = 3.42
- size of the total moment (μB per cell) = 7.84
- formation enthalpy at 0 K (meV/atom) = 752

Cell and atoms, written as CIF:
```
data_BaMn2Ag
_cell_length_a 3.591
_cell_length_b 5.146
_cell_length_c 5.219
_cell_angle_alpha 90.00
_cell_angle_beta 90.00
_cell_angle_gamma 90.00
_space_group_name_H-M_alt 'P m m m'
_space_group_IT_number 47
loop_
_space_group_symop_operation_xyz
'x,y,z'
'-x,-y,-z'
'-x,-y,z'
'x,y,-z'
'x,-y,-z'
'-x,y,z'
'-x,y,-z'
'x,-y,z'
loop_
_atom_site_label
_atom_site_type_symbol
_atom_site_fract_x
_atom_site_fract_y
_atom_site_fract_z
_atom_site_occupancy
Ba1 Ba 0.000 0.000 0.000 1
Mn1 Mn 0.000 0.500 0.500 1
Mn2 Mn 0.500 0.500 0.000 1
Ag1 Ag 0.500 0.000 0.500 1
```